Below is a geometry-optimized Cr2Rh2Au structure, with properties calculated at the PBE level. Values from VASP.

```
&SYSTEM
  ibrav = 0, nat = 10, ntyp = 3
/
ATOMIC_SPECIES
Rh 102.91 Rh.upf
Cr 52.00 Cr.upf
Au 196.97 Au.upf
CELL_PARAMETERS angstrom
-3.981 -5.798 -1.819
5.638 -2.713 -3.691
0.846 -1.282 2.235
ATOMIC_POSITIONS crystal
Rh 0.828 0.328 0.500
Cr 0.113 0.387 0.000
Cr 0.613 0.113 0.000
Cr 0.887 0.613 0.000
Rh 0.672 0.828 0.500
Cr 0.387 0.887 0.000
Rh 0.172 0.672 0.500
Au 0.500 0.500 0.000
Rh 0.328 0.172 0.500
Au 0.000 0.000 0.000
```

Summary:
Relative energy among the computed polymorphs, eV/atom: 0.0000
DOS(E_F), states/eV per cell: 10.7

---

Below is a geometry-optimized ScIrPbAu2 structure, with properties calculated at the PBE level. Values from VASP.

```
&SYSTEM
  ibrav = 0, nat = 5, ntyp = 4
/
ATOMIC_SPECIES
Au 196.97 Au.upf
Pb 207.20 Pb.upf
Ir 192.22 Ir.upf
Sc 44.96 Sc.upf
CELL_PARAMETERS angstrom
5.105 0.000 0.000
0.000 5.482 0.000
0.000 0.000 5.105
ATOMIC_POSITIONS crystal
Au 0.500 0.000 0.000
Pb 0.000 0.000 0.000
Ir 0.500 0.500 0.500
Sc 0.000 0.500 0.000
Au 0.000 0.000 0.500
```

Summary:
DOS(E_F), states/eV per cell: 5.9
Energy, eV per atom: -3.7425

---

Below is a geometry-optimized TaTl2Pb structure, with properties calculated at the PBE level. Values from VASP.

```
&SYSTEM
  ibrav = 0, nat = 4, ntyp = 3
/
ATOMIC_SPECIES
Pb 207.20 Pb.upf
Tl 204.38 Tl.upf
Ta 180.95 Ta.upf
CELL_PARAMETERS angstrom
-4.274 3.066 0.525
-1.256 3.456 -3.797
-4.243 -0.838 -3.039
ATOMIC_POSITIONS crystal
Pb 0.500 0.500 0.500
Tl 0.250 0.250 0.250
Ta 0.000 0.000 0.000
Tl 0.750 0.750 0.750
```

Summary:
Relative energy among the computed polymorphs, eV/atom: 0.4979
DOS(E_F), states/eV per cell: 3.7

---

Below is a geometry-optimized YZn10Pd2 structure, with properties calculated at the PBE level. Values from VASP.

```
&SYSTEM
  ibrav = 0, nat = 13, ntyp = 3
/
ATOMIC_SPECIES
Zn 65.41 Zn.upf
Pd 106.42 Pd.upf
Y 88.91 Y.upf
CELL_PARAMETERS angstrom
5.447 0.000 0.000
2.723 6.264 0.000
2.723 0.000 6.166
ATOMIC_POSITIONS crystal
Zn 0.000 0.000 0.500
Zn 0.500 0.000 0.500
Zn 0.499 0.785 0.217
Zn 0.350 0.646 0.654
Pd 0.000 0.500 0.000
Y 0.000 0.000 0.000
Zn 0.996 0.354 0.654
Zn 0.284 0.215 0.217
Zn 0.501 0.215 0.783
Zn 0.716 0.785 0.783
Pd 0.500 0.500 0.000
Zn 0.650 0.354 0.346
Zn 0.004 0.646 0.346
```

Summary:
DOS(E_F), states/eV per cell: 5.8
Energy, eV per atom: -2.5735

---

Below is a geometry-optimized Rb3Pb2F7 structure, with properties calculated at the PBE level. Values from VASP.

```
&SYSTEM
  ibrav = 0, nat = 12, ntyp = 3
/
ATOMIC_SPECIES
F 19.00 F.upf
Rb 85.47 Rb.upf
Pb 207.20 Pb.upf
CELL_PARAMETERS angstrom
-1.919 4.435 -0.530
-1.976 -0.326 4.430
11.837 2.793 2.817
ATOMIC_POSITIONS crystal
F 0.602 0.102 0.204
F 0.898 0.398 0.796
F 0.000 0.000 0.000
Rb 0.686 0.686 0.372
Pb 0.897 0.897 0.794
Rb 0.314 0.314 0.628
F 0.398 0.898 0.796
Pb 0.103 0.103 0.206
F 0.203 0.203 0.405
Rb 0.500 0.500 0.000
F 0.102 0.602 0.204
F 0.797 0.797 0.595
```

Summary:
Relative energy among the computed polymorphs, eV/atom: 0.0000
DOS(E_F), states/eV per cell: 0.0

---

Below is a geometry-optimized TaTcAu2 structure, with properties calculated at the PBE level. Values from VASP.

```
&SYSTEM
  ibrav = 0, nat = 4, ntyp = 3
/
ATOMIC_SPECIES
Au 196.97 Au.upf
Tc 98.00 Tc.upf
Ta 180.95 Ta.upf
CELL_PARAMETERS angstrom
9.649 -0.020 -0.012
9.228 2.821 -0.012
9.228 1.369 2.467
ATOMIC_POSITIONS crystal
Au 0.002 0.002 0.002
Au 0.498 0.498 0.498
Tc 0.750 0.750 0.750
Ta 0.250 0.250 0.250
```

Summary:
Relative energy among the computed polymorphs, eV/atom: 0.3184
DOS(E_F), states/eV per cell: 4.8